[1]
# PrNd2Tm8

A relaxed structure of PrNd2Tm8 (PBE-GGA, Alexandria via LeMat-Bulk).

Energy of formation from the pure elements = 28.7 meV/atom
Excess energy over the best structure of this formula in the dataset = 0 meV per atom

a b c (Å): 9.376 9.376 7.920
angles (deg): 104.64 104.64 31.04
Element x y z (fractional)
1 Pr 0.000 0.000 0.000
2 Nd 0.272 0.272 0.363
3 Nd 0.728 0.728 0.637
4 Tm 0.090 0.090 0.456
5 Tm 0.182 0.182 0.907
6 Tm 0.364 0.364 0.820
7 Tm 0.455 0.455 0.274
8 Tm 0.545 0.545 0.726
9 Tm 0.636 0.636 0.180
10 Tm 0.818 0.818 0.093
11 Tm 0.910 0.910 0.544

---

[2]
# Pr8Nd4Tm

A relaxed structure of Pr8Nd4Tm (PBE-GGA, Alexandria via LeMat-Bulk).

Energy of formation from the pure elements = 388.6 meV/atom

a b c (Å): 7.947 7.947 7.947
angles (deg): 97.32 97.32 97.32
Element x y z (fractional)
1 Pr 0.169 0.169 0.669
2 Pr 0.169 0.669 0.169
3 Pr 0.241 0.241 0.241
4 Pr 0.331 0.831 0.831
5 Pr 0.669 0.169 0.169
6 Pr 0.759 0.759 0.759
7 Pr 0.831 0.331 0.831
8 Pr 0.831 0.831 0.331
9 Nd 0.000 0.000 0.000
10 Nd 0.000 0.500 0.500
11 Nd 0.500 0.000 0.500
12 Nd 0.500 0.500 0.000
13 Tm 0.500 0.500 0.500

---

[3]
# Pr2Nd2Tm

A relaxed structure of Pr2Nd2Tm (PBE-GGA, Alexandria via LeMat-Bulk).

Energy of formation from the pure elements = 270.5 meV/atom
Excess energy over the best structure of this formula in the dataset = 16 meV per atom

a b c (Å): 8.915 8.915 6.376
angles (deg): 90.00 90.00 133.83
Element x y z (fractional)
1 Pr 0.094 0.906 0.750
2 Pr 0.330 0.670 0.250
3 Pr 0.670 0.330 0.750
4 Pr 0.906 0.094 0.250
5 Nd 0.093 0.430 0.750
6 Nd 0.430 0.093 0.250
7 Nd 0.570 0.907 0.750
8 Nd 0.907 0.570 0.250
9 Tm 0.500 0.500 0.000
10 Tm 0.500 0.500 0.500

---

[4]
# Pr7Nd2Tm2

A relaxed structure of Pr7Nd2Tm2 (PBE-GGA, Alexandria via LeMat-Bulk).

Energy of formation from the pure elements = 129.1 meV/atom
Excess energy over the best structure of this formula in the dataset = 0 meV per atom

a b c (Å): 8.243 8.243 6.166
angles (deg): 105.42 105.42 89.52
Element x y z (fractional)
1 Pr 0.000 0.000 0.000
2 Pr 0.045 0.587 0.819
3 Pr 0.413 0.955 0.181
4 Pr 0.427 0.427 0.201
5 Pr 0.573 0.573 0.799
6 Pr 0.587 0.045 0.819
7 Pr 0.955 0.413 0.181
8 Nd 0.225 0.225 0.600
9 Nd 0.775 0.775 0.400
10 Tm 0.217 0.783 0.500
11 Tm 0.783 0.217 0.500

---

These records have total moment values of 0.0 0.4 0.0 0.0 μB per formula unit, in the order they appear.